Entry 1:
First-principles (PBE) data for an optimized crystal structure of Ge2SbPd2, as listed in Alexandria via LeMat-Bulk.

Calculated values
formation energy (no corrections)	-162	meV per atom
density	8.38	g/cm³
energy above the lowest structure with this stoichiometry	0.021	eV/atom
spin magnetization	0.00	μB per formula unit

Cell: 3.9249 3.9249 6.7688 Å, 73.15 73.15 90.00°
Element x y z (fractional)
Sb 0.0000 0.0000 0.0000
Ge 0.7500 0.2500 0.5000
Ge 0.2500 0.7500 0.5000
Pd 0.3881 0.3881 0.2238
Pd 0.6119 0.6119 0.7762


Entry 2:
First-principles (PBE) data for an optimized crystal structure of GeSb3Pd6, as listed in Alexandria via LeMat-Bulk.

Calculated values
formation energy (no corrections)	-352	meV per atom
density	9.13	g/cm³
spin magnetization	0.00	μB per formula unit

Cell: 6.8902 7.8222 7.8222 Å, 111.76 90.00 90.00°
Element x y z (fractional)
Ge 0.9664 0.1992 0.8008
Ge 0.4664 0.8008 0.1992
Sb 0.5142 0.9046 0.7108
Sb 0.0142 0.7108 0.9046
Sb 0.3530 0.4163 0.5837
Sb 0.8530 0.5837 0.4163
Sb 0.0142 0.0954 0.2892
Sb 0.5142 0.2892 0.0954
Pd 0.1775 0.7306 0.6023
Pd 0.6775 0.6023 0.7306
Pd 0.2375 0.4249 0.9155
Pd 0.7375 0.9155 0.4249
Pd 0.1810 0.0446 0.9554
Pd 0.6265 0.2464 0.7536
Pd 0.1265 0.7536 0.2464
Pd 0.6810 0.9554 0.0446
Pd 0.2375 0.0845 0.5751
Pd 0.7375 0.5751 0.0845
Pd 0.1775 0.3977 0.2695
Pd 0.6775 0.2695 0.3977


Entry 3:
First-principles (PBE) data for an optimized crystal structure of GeSb2Pd7, as listed in Alexandria via LeMat-Bulk.

Calculated values
formation energy (no corrections)	-379	meV per atom
density	9.88	g/cm³
spin magnetization	0.00	μB per formula unit

Cell: 3.9916 3.9916 11.5468 Å, 99.95 99.95 90.00°
Element x y z (fractional)
Ge 0.0000 0.0000 0.0000
Sb 0.6672 0.6672 0.3343
Sb 0.3328 0.3328 0.6657
Pd 0.0867 0.5867 0.1733
Pd 0.4133 0.9133 0.8267
Pd 0.5867 0.0867 0.1733
Pd 0.5000 0.5000 0.0000
Pd 0.7500 0.2500 0.5000
Pd 0.9133 0.4133 0.8267
Pd 0.2500 0.7500 0.5000


Entry 4:
First-principles (PBE) data for an optimized crystal structure of Ge2Sb2Pd, as listed in Alexandria via LeMat-Bulk.

Calculated values
formation energy (no corrections)	70	meV per atom
density	7.13	g/cm³
energy above the lowest structure with this stoichiometry	0.000	eV/atom
spin magnetization	0.00	μB per formula unit

Cell: 6.4140 6.4140 5.6071 Å, 90.00 90.00 90.00°
Element x y z (fractional)
Sb 0.2856 0.7856 0.5000
Sb 0.7856 0.7144 0.5000
Sb 0.7144 0.2144 0.5000
Sb 0.2144 0.2856 0.5000
Ge 0.3607 0.8607 0.0000
Ge 0.8607 0.6393 0.0000
Ge 0.6393 0.1393 0.0000
Ge 0.1393 0.3607 0.0000
Pd 0.0000 0.0000 0.0000
Pd 0.5000 0.5000 0.0000


Entry 5:
First-principles (PBE) data for an optimized crystal structure of Ge2SbPd2, as listed in Alexandria via LeMat-Bulk.

Calculated values
formation energy (no corrections)	-66	meV per atom
density	8.59	g/cm³
energy above the lowest structure with this stoichiometry	0.118	eV/atom
spin magnetization	0.00	μB per formula unit

Cell: 7.8237 7.8237 3.0309 Å, 90.00 90.00 90.00°
Element x y z (fractional)
Sb 0.0000 0.0000 0.0000
Sb 0.5000 0.5000 0.0000
Ge 0.3482 0.8482 0.0000
Ge 0.8482 0.6518 0.0000
Ge 0.6518 0.1518 0.0000
Ge 0.1518 0.3482 0.0000
Pd 0.1320 0.6320 0.5000
Pd 0.6320 0.8680 0.5000
Pd 0.8680 0.3680 0.5000
Pd 0.3680 0.1320 0.5000


Entry 6:
First-principles (PBE) data for an optimized crystal structure of GeSbPd, as listed in Alexandria via LeMat-Bulk.

Calculated values
formation energy (no corrections)	-113	meV per atom
density	7.64	g/cm³
energy above the lowest structure with this stoichiometry	0.192	eV/atom
spin magnetization	0.00	μB per formula unit

Cell: 4.4706 4.1099 4.1099 Å, 120.00 90.00 90.00°
Element x y z (fractional)
Sb 0.6048 0.3333 0.6667
Ge 0.0967 0.0000 0.0000
Pd 0.2985 0.6667 0.3333


Entry 7:
First-principles (PBE) data for an optimized crystal structure of GeSb2Pd6, as listed in Alexandria via LeMat-Bulk.

Calculated values
formation energy (no corrections)	-468	meV per atom
density	10.29	g/cm³
spin magnetization	0.00	μB per formula unit

Cell: 3.5952 7.0354 7.0354 Å, 120.00 90.00 90.00°
Element x y z (fractional)
Ge 0.5000 0.0000 0.0000
Sb 0.0000 0.3333 0.6667
Sb 0.0000 0.6667 0.3333
Pd 0.5000 0.6166 0.0000
Pd 0.5000 0.3834 0.3834
Pd 0.5000 0.0000 0.6166
Pd 0.0000 0.2547 0.0000
Pd 0.0000 0.7453 0.7453
Pd 0.0000 0.0000 0.2547


Entry 8:
First-principles (PBE) data for an optimized crystal structure of Ge2SbPd6, as listed in Alexandria via LeMat-Bulk.

Calculated values
formation energy (no corrections)	-475	meV per atom
density	10.28	g/cm³
spin magnetization	0.00	μB per formula unit

Cell: 3.3155 7.1371 7.1363 Å, 120.00 90.00 90.00°
Element x y z (fractional)
Ge 0.0000 0.3333 0.6666
Ge 0.0000 0.6667 0.3334
Sb 0.5000 0.0001 0.0000
Pd 0.5000 0.6206 0.0000
Pd 0.5000 0.3794 0.3794
Pd 0.5000 0.9999 0.6206
Pd 0.0000 0.2990 0.0000
Pd 0.0000 0.7010 0.7010
Pd 0.0000 0.0000 0.2990


Entry 9:
First-principles (PBE) data for an optimized crystal structure of GeSbPd, as listed in Alexandria via LeMat-Bulk.

Calculated values
formation energy (no corrections)	-305	meV per atom
density	7.96	g/cm³
energy above the lowest structure with this stoichiometry	0.000	eV/atom
spin magnetization	0.00	μB per formula unit

Cell: 6.5380 6.6679 6.6705 Å, 120.33 90.00 90.00°
Element x y z (fractional)
Ge 0.6419 0.8340 0.6567
Ge 0.3581 0.1660 0.3433
Ge 0.1419 0.6660 0.3433
Ge 0.8581 0.3340 0.6567
Sb 0.6259 0.3457 0.1607
Sb 0.3741 0.6543 0.8393
Sb 0.8741 0.8457 0.1607
Sb 0.1259 0.1543 0.8393
Pd 0.0062 0.2787 0.2775
Pd 0.4938 0.7787 0.2775
Pd 0.9938 0.7213 0.7225
Pd 0.5062 0.2213 0.7225


Entry 10:
First-principles (PBE) data for an optimized crystal structure of Ge2SbPd2, as listed in Alexandria via LeMat-Bulk.

Calculated values
formation energy (no corrections)	-183	meV per atom
density	8.69	g/cm³
energy above the lowest structure with this stoichiometry	0.000	eV/atom
spin magnetization	0.00	μB per formula unit

Cell: 7.6613 7.6613 3.1262 Å, 90.00 90.00 90.00°
Element x y z (fractional)
Sb 0.0000 0.0000 0.0000
Sb 0.5000 0.5000 0.0000
Ge 0.1492 0.6492 0.5000
Ge 0.6492 0.8508 0.5000
Ge 0.8508 0.3508 0.5000
Ge 0.3508 0.1492 0.5000
Pd 0.3596 0.8596 0.0000
Pd 0.8596 0.6404 0.0000
Pd 0.6404 0.1404 0.0000
Pd 0.1404 0.3596 0.0000


Entry 11:
First-principles (PBE) data for an optimized crystal structure of Ge2SbPd2, as listed in Alexandria via LeMat-Bulk.

Calculated values
formation energy (no corrections)	-162	meV per atom
density	8.30	g/cm³
energy above the lowest structure with this stoichiometry	0.021	eV/atom
spin magnetization	0.00	μB per formula unit

Cell: 4.4335 4.4335 5.8054 Å, 67.55 67.55 90.00°
Element x y z (fractional)
Sb 0.0000 0.0000 0.0000
Ge 0.3753 0.3753 0.2494
Ge 0.6247 0.6247 0.7506
Pd 0.7500 0.2500 0.5000
Pd 0.2500 0.7500 0.5000


Entry 12:
First-principles (PBE) data for an optimized crystal structure of GeSb2Pd8, as listed in Alexandria via LeMat-Bulk.

Calculated values
formation energy (no corrections)	-424	meV per atom
density	10.51	g/cm³
energy above the lowest structure with this stoichiometry	0.000	eV/atom
spin magnetization	0.00	μB per formula unit

Cell: 4.3167 6.4240 7.5258 Å, 111.73 106.67 90.00°
Element x y z (fractional)
Ge 0.5000 0.0000 0.0000
Sb 0.8231 0.3282 0.6462
Sb 0.1769 0.6718 0.3538
Pd 0.4098 0.5693 0.8196
Pd 0.6647 0.9377 0.3295
Pd 0.8114 0.7317 0.6228
Pd 0.9749 0.1942 0.9499
Pd 0.1886 0.2683 0.3772
Pd 0.3353 0.0623 0.6705
Pd 0.5902 0.4307 0.1804
Pd 0.0251 0.8058 0.0501